(1)
Ba2Mg16Ga | GGA-PBE | relaxed

The structure in POSCAR format:
```
Ba2Mg16Ga
1.0
5.2788 3.0477 5.1464
-5.2788 3.0477 5.1464
0.0000 -6.0955 5.1464
Ba Mg Ga
2 16 1
Cartesian
0.0000 0.0000 0.0000
0.0000 0.0000 5.1160
0.0000 -3.0465 2.7456
-2.6384 1.5233 2.7456
-2.6233 -1.5146 7.6913
0.0000 -3.0553 7.5063
-2.6460 1.5277 7.5063
-1.5497 -2.6847 10.2642
-3.0998 0.0003 10.2642
2.6384 1.5233 2.7456
2.6233 -1.5146 7.6913
0.0000 3.0291 7.6913
1.5497 -2.6847 10.2642
-1.5502 2.6844 10.2642
0.0000 0.0000 11.5979
2.6460 1.5277 7.5063
3.0999 0.0003 10.2642
1.5502 2.6844 10.2642
0.0000 0.0000 8.6758
```

Values from the calculation:
- Space group: R3m (160)
- V: 496.8 Å³/cell
- Calculated formation energy: -0.0807 eV/atom
- Spin magnetization: 0.00 μB/cell

=====

(2)
Ba2MgGa2 | GGA-PBE | relaxed

The structure in POSCAR format:
```
Ba2MgGa2
1.0
8.1999 0.0000 0.0000
0.0000 8.1999 0.0000
0.0000 0.0000 5.0121
Ba Mg Ga
4 2 4
Cartesian
1.5627 2.5373 0.0000
2.5373 6.6372 0.0000
5.6626 1.5627 0.0000
6.6372 5.6626 0.0000
0.0000 0.0000 2.5060
4.0999 4.0999 2.5060
0.9005 5.0005 2.5060
3.1994 0.9005 2.5060
5.0005 7.2994 2.5060
7.2994 3.1994 2.5060
```

Values from the calculation:
- Energy above the lowest structure with this stoichiometry: 0.48 eV/f.u.
- Space group: P4/mbm (127)
- V: 337.0 Å³/cell
- Calculated formation energy: -0.2208 eV/atom
- Spin magnetization: 0.00 μB/cell

=====

(3)
BaMg6Ga | GGA-PBE | relaxed

The structure in POSCAR format:
```
BaMg6Ga
1.0
4.9596 0.0000 0.0000
0.0000 3.9738 5.4113
0.0000 -3.9738 5.4113
Ba Mg Ga
1 6 1
Cartesian
0.0000 0.0000 0.0000
0.0000 -1.5338 3.0401
0.0000 1.5338 3.0401
0.0000 0.0000 6.1721
2.4798 -1.5324 5.0810
2.4798 1.5324 5.0810
2.4798 0.0000 8.1021
2.4798 0.0000 2.2660
```

Values from the calculation:
- Energy above the lowest structure with this stoichiometry: 0.16 eV/f.u.
- Space group: Amm2 (38)
- V: 213.3 Å³/cell
- Calculated formation energy: 0.0127 eV/atom
- Spin magnetization: 0.00 μB/cell

=====

(4)
Ba3Mg4Ga4 | GGA-PBE | relaxed

The structure in POSCAR format:
```
Ba3Mg4Ga4
1.0
-2.4665 3.8956 8.1976
2.4665 -3.8956 8.1976
2.4665 3.8956 -8.1976
Ba Mg Ga
3 4 4
Cartesian
0.0000 0.0000 0.0000
2.4665 0.0000 6.0621
0.0000 3.8956 2.1355
2.4665 1.5020 -2.7879
2.4665 1.5020 2.7879
0.0000 2.3936 5.4097
0.0000 2.3936 10.9856
0.0000 0.0000 3.5645
2.4665 2.5947 0.0000
0.0000 1.3008 8.1976
0.0000 0.0000 12.8308
```

Values from the calculation:
- Energy above the lowest structure with this stoichiometry: 0.06 eV/f.u.
- Space group: Immm (71)
- V: 315.1 Å³/cell
- Calculated formation energy: -0.2669 eV/atom
- Spin magnetization: 0.00 μB/cell

=====

(5)
Ba2MgGa2 | GGA-PBE | relaxed

The structure in POSCAR format:
```
Ba2MgGa2
1.0
-2.3135 3.5411 5.1766
2.3135 -3.5411 5.1766
2.3135 3.5411 -5.1766
Ba Mg Ga
2 1 2
Cartesian
0.0000 0.0000 1.8473
0.0000 0.0000 8.5059
0.0000 3.5411 0.0000
2.3135 2.1065 0.0000
0.0000 1.4346 5.1766
```

Values from the calculation:
- Energy above the lowest structure with this stoichiometry: 0.15 eV/f.u.
- Space group: Immm (71)
- V: 169.6 Å³/cell
- Calculated formation energy: -0.2856 eV/atom
- Spin magnetization: 0.00 μB/cell

=====

(6)
Ba3MgGa2 | GGA-PBE | relaxed

The structure in POSCAR format:
```
Ba3MgGa2
1.0
8.9482 0.0000 0.0000
0.0000 9.9188 0.0000
-2.8674 0.0000 10.0926
Ba Mg Ga
12 4 8
Cartesian
0.0439 1.0366 4.6655
-1.3898 3.9228 9.7118
1.4908 0.4552 1.1186
0.0571 4.5042 6.1650
1.7260 7.0368 3.3481
0.2923 7.8414 8.3944
5.7885 2.0774 1.6983
4.3548 2.8820 6.7446
6.0237 5.4146 3.9277
4.5900 9.4636 8.9740
7.4706 5.9960 0.3808
6.0369 8.8822 5.4271
1.2371 1.5268 8.2645
2.6708 3.4326 3.2182
3.4100 6.4862 6.8744
4.8437 8.3920 1.8281
-1.5261 1.1731 7.7816
-0.0924 3.7863 2.7352
4.0782 5.5129 1.1541
2.6445 9.3653 6.2004
3.4363 0.5535 3.8922
2.0026 4.4059 8.9386
6.1732 6.1325 7.3574
7.6069 8.7457 2.3111
```

Values from the calculation:
- Space group: P2_1/c (14)
- V: 895.8 Å³/cell
- Calculated formation energy: -0.2055 eV/atom
- Spin magnetization: 0.00 μB/cell

=====

(7)
Ba3Mg2Ga2 | GGA-PBE | relaxed

The structure in POSCAR format:
```
Ba3Mg2Ga2
1.0
7.0371 0.0000 0.0000
0.0000 8.8159 0.0000
0.0000 0.0000 15.6686
Ba Mg Ga
12 8 8
Cartesian
0.6649 0.8507 1.7219
0.6649 0.8507 6.1124
0.6649 3.5572 9.5562
0.6649 3.5572 13.9467
2.4765 6.5252 3.9172
2.4765 6.6986 11.7515
4.5605 2.1173 3.9172
4.5605 2.2907 11.7515
6.3722 5.2587 1.7219
6.3722 5.2587 6.1124
6.3722 7.9651 9.5562
6.3722 7.9651 13.9467
2.8162 0.4804 9.1105
2.8162 0.4804 14.3924
2.8162 3.9276 1.2762
2.8162 3.9276 6.5581
4.2208 4.8883 9.1105
4.2208 4.8883 14.3924
4.2208 8.3355 1.2762
4.2208 8.3355 6.5581
1.3716 1.1130 11.7515
1.3716 3.2950 3.9172
2.3221 6.6119 0.0000
2.3221 6.6119 7.8343
4.7149 2.2040 0.0000
4.7149 2.2040 7.8343
5.6654 5.5209 11.7515
5.6654 7.7029 3.9172
```

Values from the calculation:
- Space group: Pbcm (57)
- V: 972.0 Å³/cell
- Calculated formation energy: -0.2302 eV/atom
- Spin magnetization: 0.00 μB/cell

=====

(8)
BaMgGa4 | GGA-PBE | relaxed

The structure in POSCAR format:
```
BaMgGa4
1.0
4.5803 0.0000 0.0000
-2.2901 3.9666 0.0000
0.0000 0.0000 7.6926
Ba Mg Ga
1 1 4
Cartesian
0.0000 0.0000 0.0000
0.0000 0.0000 3.8463
0.0000 2.6444 2.3647
0.0000 2.6444 5.3279
2.2901 1.3222 2.3647
2.2901 1.3222 5.3279
```

Values from the calculation:
- Energy above the lowest structure with this stoichiometry: 0.05 eV/f.u.
- Space group: P6/mmm (191)
- V: 139.8 Å³/cell
- Calculated formation energy: -0.3493 eV/atom
- Spin magnetization: 0.00 μB/cell

=====

(9)
Ba2MgGa | GGA-PBE | relaxed

The structure in POSCAR format:
```
Ba2MgGa
1.0
2.4791 1.4313 8.1813
-2.4791 1.4313 8.1813
0.0000 -2.8626 8.1813
Ba Mg Ga
2 1 1
Cartesian
0.0000 0.0000 0.0000
0.0000 0.0000 4.3052
0.0000 0.0000 18.5128
0.0000 0.0000 10.2502
```

Values from the calculation:
- Space group: R3m (160)
- V: 174.2 Å³/cell
- Calculated formation energy: -0.1742 eV/atom
- Spin magnetization: 0.72 μB/cell

=====

(10)
Ba2Mg2Ga | GGA-PBE | relaxed

The structure in POSCAR format:
```
Ba2Mg2Ga
1.0
6.0090 -3.7865 0.0000
6.0090 3.7865 0.0000
-2.8164 0.0000 7.6027
Ba Mg Ga
4 4 2
Cartesian
1.6483 0.5621 1.0642
0.2400 -0.5621 4.8656
8.9616 0.5621 2.7372
7.5534 -0.5621 6.5385
3.5086 0.9415 4.1960
4.2848 0.9415 7.2081
4.9168 -0.9415 0.3947
5.6930 -0.9415 3.4067
5.3049 1.5083 1.9007
3.8967 -1.5083 5.7021
```

Values from the calculation:
- Energy above the lowest structure with this stoichiometry: 0.00 eV/f.u.
- Space group: C2/c (15)
- V: 346.0 Å³/cell
- Calculated formation energy: -0.1825 eV/atom
- Spin magnetization: 0.00 μB/cell

=====

(11)
BaMg2Ga | GGA-PBE | relaxed

The structure in POSCAR format:
```
BaMg2Ga
1.0
-2.8009 2.8009 9.3035
2.8009 -2.8009 9.3035
2.8009 2.8009 -9.3035
Ba Mg Ga
2 4 2
Cartesian
0.0000 0.0000 0.0000
0.0000 2.8009 4.6517
1.4004 -0.0098 6.9776
2.7911 1.4004 2.3259
1.4004 2.8107 -2.3259
0.0098 1.4004 11.6293
2.8009 0.0000 4.6517
0.0000 0.0000 9.3035
```

Values from the calculation:
- Energy above the lowest structure with this stoichiometry: 1.14 eV/f.u.
- Space group: I-42d (122)
- V: 291.9 Å³/cell
- Calculated formation energy: 0.0523 eV/atom
- Spin magnetization: 0.00 μB/cell

=====

(12)
BaMgGa4 | GGA-PBE | relaxed

The structure in POSCAR format:
```
BaMgGa4
1.0
8.3876 0.0000 0.0000
0.0000 16.1831 0.0000
0.0000 0.0000 4.2666
Ba Mg Ga
4 4 16
Cartesian
1.0660 2.4304 0.0000
3.1278 10.5220 0.0000
5.2598 5.6612 0.0000
7.3216 13.7528 0.0000
1.0829 6.7101 0.0000
3.1109 14.8016 0.0000
5.2767 1.3815 0.0000
7.3047 9.4731 0.0000
0.1845 11.2318 2.1333
0.9628 8.8721 2.1333
1.1282 15.6475 2.1333
1.8028 13.1785 2.1333
2.3910 5.0869 2.1333
3.0656 7.5559 2.1333
3.2310 0.7805 2.1333
4.0093 3.1402 2.1333
4.3783 13.0430 2.1333
5.1566 15.4026 2.1333
5.3220 8.6272 2.1333
5.9966 11.0963 2.1333
6.5848 3.0047 2.1333
7.2594 0.5356 2.1333
7.4248 7.3110 2.1333
8.2031 4.9514 2.1333
```

Values from the calculation:
- Energy above the lowest structure with this stoichiometry: 0.00 eV/f.u.
- Space group: Pbam (55)
- V: 579.1 Å³/cell
- Calculated formation energy: -0.3583 eV/atom
- Spin magnetization: 0.00 μB/cell

=====

(13)
Ba2MgGa | GGA-PBE | relaxed

The structure in POSCAR format:
```
Ba2MgGa
1.0
5.3407 -4.3131 0.0000
5.3407 4.3131 0.0000
0.0000 0.0000 6.1815
Ba Mg Ga
4 2 2
Cartesian
1.8405 1.2057 1.5454
1.8405 -1.2057 4.6361
8.8409 1.2057 1.5454
8.8409 -1.2057 4.6361
5.3407 0.0000 0.0000
5.3407 0.0000 3.0907
5.3407 2.4391 1.5454
5.3407 -2.4391 4.6361
```

Values from the calculation:
- Space group: Cmcm (63)
- V: 284.8 Å³/cell
- Calculated formation energy: -0.2381 eV/atom
- Spin magnetization: 0.00 μB/cell

=====

(14)
BaMg2Ga | GGA-PBE | relaxed

The structure in POSCAR format:
```
BaMg2Ga
1.0
3.5891 0.0000 0.0000
0.0000 3.5891 0.0000
0.0000 0.0000 8.7830
Ba Mg Ga
1 2 1
Cartesian
0.0000 0.0000 0.0000
1.7946 1.7946 2.7967
1.7946 1.7946 5.9863
0.0000 0.0000 4.3915
```

Values from the calculation:
- Energy above the lowest structure with this stoichiometry: 0.72 eV/f.u.
- Space group: P4/mmm (123)
- V: 113.1 Å³/cell
- Calculated formation energy: -0.0529 eV/atom
- Spin magnetization: 0.00 μB/cell

=====

(15)
BaMgGa4 | GGA-PBE | relaxed

The structure in POSCAR format:
```
BaMgGa4
1.0
0.0000 4.1178 4.1178
4.1178 0.0000 4.1178
4.1178 4.1178 0.0000
Ba Mg Ga
1 1 4
Cartesian
0.0000 0.0000 0.0000
6.1768 6.1768 6.1768
3.0891 3.0891 3.0891
5.1466 5.1466 3.0891
5.1466 3.0891 5.1466
3.0891 5.1466 5.1466
```

Values from the calculation:
- Energy above the lowest structure with this stoichiometry: 1.12 eV/f.u.
- Space group: F-43m (216)
- V: 139.6 Å³/cell
- Calculated formation energy: -0.1724 eV/atom
- Spin magnetization: 0.00 μB/cell

=====

(16)
Ba2Mg3Ga | GGA-PBE | relaxed

The structure in POSCAR format:
```
Ba2Mg3Ga
1.0
5.5429 -3.1894 0.0000
5.5429 3.1894 0.0000
-3.6975 0.0000 5.3201
Ba Mg Ga
2 3 1
Cartesian
-0.0013 0.0000 2.0591
7.3897 0.0000 3.2610
2.7715 1.5947 0.0000
2.7715 -1.5947 0.0000
5.5429 0.0000 0.0000
3.6942 0.0000 2.6600
```

Values from the calculation:
- Space group: C2/m (12)
- V: 188.1 Å³/cell
- Calculated formation energy: -0.1600 eV/atom
- Spin magnetization: 0.00 μB/cell

=====

(17)
Ba2Mg2Ga | GGA-PBE | relaxed

The structure in POSCAR format:
```
Ba2Mg2Ga
1.0
7.6189 0.0000 0.0000
0.0000 7.6189 0.0000
0.0000 0.0000 5.8356
Ba Mg Ga
4 4 2
Cartesian
1.3961 2.4133 0.0000
2.4133 6.2228 0.0000
5.2056 1.3961 0.0000
6.2228 5.2056 0.0000
1.0626 4.8720 2.9178
2.7469 1.0626 2.9178
4.8720 6.5564 2.9178
6.5564 2.7469 2.9178
0.0000 0.0000 2.9178
3.8095 3.8095 2.9178
```

Values from the calculation:
- Energy above the lowest structure with this stoichiometry: 0.70 eV/f.u.
- Space group: P4/mbm (127)
- V: 338.7 Å³/cell
- Calculated formation energy: -0.0421 eV/atom
- Spin magnetization: 0.00 μB/cell

=====

(18)
Ba2Mg2Ga | GGA-PBE | relaxed

The structure in POSCAR format:
```
Ba2Mg2Ga
1.0
-2.4888 2.4888 16.1718
2.4888 -2.4888 16.1718
2.4888 2.4888 -16.1718
Ba Mg Ga
4 4 2
Cartesian
2.4888 1.2444 -6.4036
0.0000 1.2444 1.6823
2.4888 1.2444 14.4894
0.0000 1.2444 22.5753
2.4888 1.2444 -2.8101
0.0000 1.2444 5.2758
2.4888 1.2444 10.8960
0.0000 1.2444 18.9819
2.4888 1.2444 4.0429
0.0000 1.2444 12.1288
```

Values from the calculation:
- Energy above the lowest structure with this stoichiometry: 0.69 eV/f.u.
- Space group: I4_1/amd (141)
- V: 400.7 Å³/cell
- Calculated formation energy: -0.0448 eV/atom
- Spin magnetization: 0.00 μB/cell

=====

(19)
BaMg4Ga | GGA-PBE | relaxed

The structure in POSCAR format:
```
BaMg4Ga
1.0
2.3013 -9.1293 0.0000
2.3013 9.1293 0.0000
0.0000 0.0000 7.8465
Ba Mg Ga
2 8 2
Cartesian
2.3013 6.8913 5.8849
2.3013 -6.8913 1.9616
2.3013 7.6589 1.9616
2.3013 3.3980 4.4076
2.3013 3.3980 7.3622
2.3013 0.0000 0.0000
2.3013 0.0000 3.9233
2.3013 -3.3980 0.4843
2.3013 -3.3980 3.4390
2.3013 -7.6589 5.8849
2.3013 4.8572 1.9616
2.3013 -4.8572 5.8849
```

Values from the calculation:
- Energy above the lowest structure with this stoichiometry: 0.07 eV/f.u.
- Space group: Cmcm (63)
- V: 329.7 Å³/cell
- Calculated formation energy: -0.1414 eV/atom
- Spin magnetization: 0.00 μB/cell

=====

(20)
Ba2MgGa | GGA-PBE | relaxed

The structure in POSCAR format:
```
Ba2MgGa
1.0
2.0686 1.1943 12.2265
-2.0686 1.1943 12.2265
0.0000 -2.3886 12.2265
Ba Mg Ga
2 1 1
Cartesian
0.0000 0.0000 3.7557
0.0000 0.0000 32.9237
0.0000 0.0000 0.0000
0.0000 0.0000 18.3397
```

Values from the calculation:
- Space group: R-3m (166)
- V: 181.2 Å³/cell
- Calculated formation energy: 0.1637 eV/atom
- Spin magnetization: 0.00 μB/cell

=====

(21)
Ba3Mg4Ga4 | GGA-PBE | relaxed

The structure in POSCAR format:
```
Ba3Mg4Ga4
1.0
4.8118 0.0000 0.0000
-0.0032 4.8403 0.0000
-2.3919 -2.4180 14.1563
Ba Mg Ga
3 4 4
Cartesian
0.0000 0.0000 0.0000
0.0049 2.4194 9.9306
2.4118 0.0029 4.2258
0.0017 2.4244 2.7641
0.0039 -0.0009 7.0687
2.4128 2.4232 7.0876
2.4150 -0.0021 11.3922
0.0073 2.4178 5.5512
0.0121 0.0018 12.8673
2.4046 2.4205 1.2891
2.4094 0.0045 8.6051
```

Values from the calculation:
- Energy above the lowest structure with this stoichiometry: 0.00 eV/f.u.
- Space group: P-1 (2)
- V: 329.7 Å³/cell
- Calculated formation energy: -0.2721 eV/atom
- Spin magnetization: 0.00 μB/cell